Density functional theory data (PBE+U) for SrCoF2 after structural relaxation.

Cell and atoms, written as extended XYZ:
```
8
Lattice="-2.439 2.439 6.728 2.439 -2.439 6.728 2.439 2.439 -6.728" Properties=species:S:1:pos:R:3 pbc="T T T"
Sr 0.000 0.000 0.000
Sr 0.000 2.439 3.364
Co 2.439 0.000 3.364
Co 0.000 0.000 6.728
F 1.219 -1.211 5.046
F 1.227 1.219 1.682
F 1.219 3.650 -1.682
F 1.211 1.219 8.410
```

Calculated values
Calculated total energy   -4.44 eV/atom
Distance to the lowest polymorph of the same formula   75 kJ/mol of formula units
Calculated volume   160 Å³ per cell